AlFeReTc: relaxed, PBE-GGA.

Cell lengths 4.2416, 4.2416, 4.2416 Å; angles 60.00, 60.00, 60.00 degrees
With the nearest neighbours (Å) after each atom.
Fractional positions:
Al 0.0000 0.0000 0.0000  4 Fe 2.60, 4 Tc 2.60
Fe 0.2500 0.2500 0.2500  4 Re 2.60, 4 Al 2.60
Re 0.5000 0.5000 0.5000  4 Fe 2.60, 4 Tc 2.60
Tc 0.7500 0.7500 0.7500  4 Re 2.60, 4 Al 2.60

* V: 13.5 Å³/atom
* energy relative to the elements: -51 kJ/mol of formula units